1.
The following is a PBE calculation of Rb2NbRhI6 after structural relaxation, from Alexandria. Values from VASP.

Calculated values
uncorrected energy	-3.4364	eV/atom
N(E_F)	9.60	states/eV/f.u.
total moment	4.0	μB/f.u.
volume	381.5	Å³ per cell

The structure in Quantum ESPRESSO input format:
```
&SYSTEM
  ibrav = 0, nat = 10, ntyp = 4
/
ATOMIC_SPECIES
I 126.90 I.upf
Rb 85.47 Rb.upf
Nb 92.91 Nb.upf
Rh 102.91 Rh.upf
CELL_PARAMETERS angstrom
8.143 0.000 0.000
0.000 8.143 0.000
4.071 4.071 5.753
ATOMIC_POSITIONS crystal
I 0.751 0.249 0.000
I 0.751 0.751 0.498
I 0.751 0.751 0.000
I 0.249 0.249 0.000
Rb 0.750 0.250 0.500
Rb 0.250 0.750 0.500
I 0.249 0.751 0.000
Nb 0.500 0.500 0.000
I 0.249 0.249 0.502
Rh 0.000 0.000 0.000
```

=====

2.
The following is a PBE calculation of LiIBrN2 after structural relaxation, from Alexandria. Values from VASP.

Calculated values
uncorrected energy	-2.9050	eV/atom
N(E_F)	2.55	states/eV/f.u.
total moment	3.0	μB/f.u.
volume	147.6	Å³ per cell
energy above the most stable polymorph in this dataset	0.0	meV per atom

The structure in Quantum ESPRESSO input format:
```
&SYSTEM
  ibrav = 0, nat = 5, ntyp = 4
/
ATOMIC_SPECIES
Br 79.90 Br.upf
Li 6.94 Li.upf
N 14.01 N.upf
I 126.90 I.upf
CELL_PARAMETERS angstrom
-0.527 0.886 -4.000
0.766 -3.940 -0.974
-8.427 -1.813 0.709
ATOMIC_POSITIONS crystal
Br 0.000 0.000 0.000
Li 0.500 0.500 0.500
N 0.000 0.500 0.000
N 0.500 0.000 0.000
I 0.000 0.000 0.500
```

=====

3.
The following is a PBE calculation of GaCuPdAu after structural relaxation, from Alexandria. Values from VASP.

Calculated values
uncorrected energy	-4.1812	eV/atom
N(E_F)	2.57	states/eV/f.u.
total moment	0.0	μB/f.u.
volume	60.5	Å³ per cell
ΔE_f	-0.283	eV/atom
energy above the most stable polymorph in this dataset	0.0	meV per atom

The structure in Quantum ESPRESSO input format:
```
&SYSTEM
  ibrav = 0, nat = 4, ntyp = 4
/
ATOMIC_SPECIES
Cu 63.55 Cu.upf
Pd 106.42 Pd.upf
Au 196.97 Au.upf
Ga 69.72 Ga.upf
CELL_PARAMETERS angstrom
3.660 0.000 0.000
0.000 4.155 0.000
0.000 0.000 3.978
ATOMIC_POSITIONS crystal
Cu 0.000 0.000 0.000
Pd 0.500 0.500 0.000
Au 0.500 0.000 0.500
Ga 0.000 0.500 0.500
```

=====

4.
The following is a PBE calculation of Zn6AgPd after structural relaxation, from Alexandria. Values from VASP.

Calculated values
uncorrected energy	-2.0091	eV/atom
N(E_F)	2.35	states/eV/f.u.
total moment	0.0	μB/f.u.
volume	135.4	Å³ per cell
ΔE_f	-0.048	eV/atom
energy above the most stable polymorph in this dataset	112.9	meV per atom

The structure in Quantum ESPRESSO input format:
```
&SYSTEM
  ibrav = 0, nat = 8, ntyp = 3
/
ATOMIC_SPECIES
Zn 65.41 Zn.upf
Ag 107.87 Ag.upf
Pd 106.42 Pd.upf
CELL_PARAMETERS angstrom
-0.755 -3.906 2.195
2.083 0.022 4.038
-5.366 1.716 4.608
ATOMIC_POSITIONS crystal
Zn 0.363 0.363 0.931
Zn 0.554 0.061 0.297
Zn 0.637 0.637 0.069
Ag 0.500 0.500 0.500
Pd 0.000 0.000 0.000
Zn 0.061 0.554 0.297
Zn 0.446 0.939 0.703
Zn 0.939 0.446 0.703
```

=====

5.
The following is a PBE calculation of Tm3Cu2Os after structural relaxation, from Alexandria. Values from VASP.

Calculated values
uncorrected energy	-5.7913	eV/atom
N(E_F)	3.85	states/eV/f.u.
total moment	0.0	μB/f.u.
volume	235.6	Å³ per cell
ΔE_f	-0.319	eV/atom
energy above the most stable polymorph in this dataset	0.0	meV per atom

The structure in Quantum ESPRESSO input format:
```
&SYSTEM
  ibrav = 0, nat = 12, ntyp = 3
/
ATOMIC_SPECIES
Tm 168.93 Tm.upf
Cu 63.55 Cu.upf
Os 190.23 Os.upf
CELL_PARAMETERS angstrom
-1.799 0.771 -4.394
-2.896 -1.419 3.570
-2.042 11.231 2.807
ATOMIC_POSITIONS crystal
Tm 0.333 0.667 0.418
Tm 0.000 0.000 0.745
Cu 0.000 0.000 0.000
Cu 0.000 0.000 0.500
Cu 0.667 0.333 0.832
Os 0.333 0.667 0.667
Tm 0.000 0.000 0.255
Tm 0.667 0.333 0.582
Tm 0.667 0.333 0.089
Tm 0.333 0.667 0.911
Os 0.667 0.333 0.333
Cu 0.333 0.667 0.168
```

=====

6.
The following is a PBE calculation of PuHg6Pb2 after structural relaxation, from Alexandria. Values from VASP.

Calculated values
uncorrected energy	-2.6341	eV/atom
N(E_F)	18.13	states/eV/f.u.
total moment	5.9	μB/f.u.
volume	241.8	Å³ per cell
ΔE_f	-0.016	eV/atom

The structure in Quantum ESPRESSO input format:
```
&SYSTEM
  ibrav = 0, nat = 9, ntyp = 3
/
ATOMIC_SPECIES
Hg 200.59 Hg.upf
Pu 244.00 Pu.upf
Pb 207.20 Pb.upf
CELL_PARAMETERS angstrom
5.215 0.075 0.820
2.267 5.359 2.018
-0.052 0.256 8.775
ATOMIC_POSITIONS crystal
Hg 0.830 0.168 0.833
Hg 0.170 0.499 0.833
Hg 0.830 0.501 0.167
Hg 0.318 0.363 0.500
Pu 0.000 0.000 0.500
Pb 0.500 0.841 0.818
Pb 0.500 0.159 0.182
Hg 0.170 0.832 0.167
Hg 0.682 0.637 0.500
```

=====

7.
The following is a PBE calculation of CrGeTe3 after structural relaxation, from Alexandria. Values from VASP.

Calculated values
uncorrected energy	-4.3041	eV/atom
N(E_F)	4.10	states/eV/f.u.
total moment	3.1	μB/f.u.
volume	142.9	Å³ per cell

The structure in Quantum ESPRESSO input format:
```
&SYSTEM
  ibrav = 0, nat = 5, ntyp = 3
/
ATOMIC_SPECIES
Cr 52.00 Cr.upf
Ge 72.64 Ge.upf
Te 127.60 Te.upf
CELL_PARAMETERS angstrom
-2.563 3.976 -2.224
-4.026 -3.171 -1.031
-2.133 1.208 4.617
ATOMIC_POSITIONS crystal
Cr 0.000 0.000 0.000
Ge 0.500 0.500 0.500
Te 0.500 0.000 0.000
Te 0.000 0.000 0.500
Te 0.000 0.500 0.000
```

=====

8.
The following is a PBE calculation of TmAg3F6 after structural relaxation, from Alexandria. Values from VASP.

Calculated values
uncorrected energy	-4.6429	eV/atom
N(E_F)	0.00	states/eV/f.u.
total moment	0.0	μB/f.u.
volume	382.5	Å³ per cell
energy above the most stable polymorph in this dataset	0.0	meV per atom

The structure in Quantum ESPRESSO input format:
```
&SYSTEM
  ibrav = 0, nat = 20, ntyp = 3
/
ATOMIC_SPECIES
Ag 107.87 Ag.upf
F 19.00 F.upf
Tm 168.93 Tm.upf
CELL_PARAMETERS angstrom
7.254 0.128 -0.270
-0.285 7.250 -0.270
0.121 0.128 7.258
ATOMIC_POSITIONS crystal
Ag 0.038 0.750 0.462
F 0.020 0.986 0.705
F 0.705 0.020 0.986
Ag 0.538 0.962 0.250
F 0.014 0.295 0.980
Ag 0.250 0.538 0.962
Tm 0.000 0.000 0.000
Tm 0.500 0.500 0.500
Ag 0.750 0.462 0.038
Ag 0.962 0.250 0.538
Ag 0.462 0.038 0.750
F 0.514 0.480 0.795
F 0.795 0.514 0.480
F 0.486 0.520 0.205
F 0.520 0.205 0.486
F 0.295 0.980 0.014
F 0.986 0.705 0.020
F 0.480 0.795 0.514
F 0.205 0.486 0.520
F 0.980 0.014 0.295
```

=====

9.
The following is a PBE calculation of BaCa2AlRu after structural relaxation, from Alexandria. Values from VASP.

Calculated values
uncorrected energy	-3.8224	eV/atom
N(E_F)	3.71	states/eV/f.u.
total moment	0.0	μB/f.u.
volume	153.9	Å³ per cell
ΔE_f	-0.034	eV/atom

The structure in Quantum ESPRESSO input format:
```
&SYSTEM
  ibrav = 0, nat = 5, ntyp = 4
/
ATOMIC_SPECIES
Ca 40.08 Ca.upf
Ru 101.07 Ru.upf
Al 26.98 Al.upf
Ba 137.33 Ba.upf
CELL_PARAMETERS angstrom
5.549 0.000 0.000
0.000 5.549 0.000
0.000 0.000 4.997
ATOMIC_POSITIONS crystal
Ca 0.000 0.500 0.000
Ca 0.500 0.000 0.000
Ru 0.000 0.000 0.000
Al 0.000 0.000 0.500
Ba 0.500 0.500 0.500
```

=====

10.
The following is a PBE calculation of BaSiIr4 after structural relaxation, from Alexandria. Values from VASP.

Calculated values
uncorrected energy	-6.7424	eV/atom
N(E_F)	9.72	states/eV/f.u.
total moment	0.0	μB/f.u.
volume	112.7	Å³ per cell

The structure in Quantum ESPRESSO input format:
```
&SYSTEM
  ibrav = 0, nat = 6, ntyp = 3
/
ATOMIC_SPECIES
Si 28.09 Si.upf
Ba 137.33 Ba.upf
Ir 192.22 Ir.upf
CELL_PARAMETERS angstrom
2.543 -4.502 -1.633
-2.708 -4.689 -0.291
-1.159 -2.166 -4.834
ATOMIC_POSITIONS crystal
Si 0.750 0.750 0.750
Ba 0.000 0.000 0.000
Ir 0.376 0.376 0.872
Ir 0.376 0.872 0.376
Ir 0.872 0.376 0.376
Ir 0.376 0.376 0.376
```

=====

11.
The following is a PBE calculation of La2Pr6Y after structural relaxation, from Alexandria. Values from VASP.

Calculated values
uncorrected energy	-4.9101	eV/atom
N(E_F)	11.90	states/eV/f.u.
total moment	0.0	μB/f.u.
volume	654.7	Å³ per cell
ΔE_f	0.089	eV/atom
energy above the most stable polymorph in this dataset	33.5	meV per atom

The structure in Quantum ESPRESSO input format:
```
&SYSTEM
  ibrav = 0, nat = 18, ntyp = 3
/
ATOMIC_SPECIES
Pr 140.91 Pr.upf
La 138.91 La.upf
Y 88.91 Y.upf
CELL_PARAMETERS angstrom
-2.767 3.168 -5.116
-4.450 -0.290 11.335
8.232 4.766 7.608
ATOMIC_POSITIONS crystal
Pr 0.167 0.179 0.601
Pr 0.333 0.399 0.821
Pr 0.867 0.309 0.946
La 0.531 0.729 0.844
Y 0.250 0.036 0.964
Pr 0.667 0.601 0.179
La 0.469 0.271 0.156
Pr 0.833 0.821 0.399
Pr 0.726 0.330 0.480
Pr 0.133 0.691 0.054
La 0.969 0.156 0.271
Pr 0.367 0.946 0.309
Pr 0.633 0.054 0.691
La 0.031 0.844 0.729
Y 0.750 0.964 0.036
Pr 0.774 0.520 0.670
Pr 0.274 0.670 0.520
Pr 0.226 0.480 0.330
```

=====

12.
The following is a PBE calculation of SrTcIr after structural relaxation, from Alexandria. Values from VASP.

Calculated values
uncorrected energy	-6.2494	eV/atom
N(E_F)	4.82	states/eV/f.u.
total moment	0.0	μB/f.u.
volume	58.5	Å³ per cell
ΔE_f	0.720	eV/atom
energy above the most stable polymorph in this dataset	717.4	meV per atom

The structure in Quantum ESPRESSO input format:
```
&SYSTEM
  ibrav = 0, nat = 3, ntyp = 3
/
ATOMIC_SPECIES
Tc 98.00 Tc.upf
Ir 192.22 Ir.upf
Sr 87.62 Sr.upf
CELL_PARAMETERS angstrom
-1.212 3.241 3.284
-3.053 -1.114 -3.492
-1.153 -2.146 1.693
ATOMIC_POSITIONS crystal
Tc 0.333 0.667 0.834
Ir 0.000 0.000 0.833
Sr 0.667 0.333 0.333
```

=====

13.
The following is a PBE calculation of Ba4Br6O after structural relaxation, from Alexandria. Values from VASP.

Calculated values
uncorrected energy	-4.3900	eV/atom
N(E_F)	0.00	states/eV/f.u.
total moment	0.1	μB/f.u.
volume	772.6	Å³ per cell
energy above the most stable polymorph in this dataset	0.0	meV per atom

The structure in Quantum ESPRESSO input format:
```
&SYSTEM
  ibrav = 0, nat = 22, ntyp = 3
/
ATOMIC_SPECIES
Ba 137.33 Ba.upf
Br 79.90 Br.upf
O 16.00 O.upf
CELL_PARAMETERS angstrom
-5.465 3.335 -8.334
-4.248 -6.965 6.625
-3.036 6.047 4.411
ATOMIC_POSITIONS crystal
Ba 0.801 0.199 0.501
Ba 0.801 0.601 0.501
Br 0.468 0.532 0.709
Ba 0.199 0.801 0.001
Ba 0.667 0.333 0.919
Br 0.713 0.857 0.391
Ba 0.199 0.399 0.001
O 0.667 0.333 0.601
Ba 0.399 0.199 0.501
Br 0.143 0.857 0.391
Br 0.287 0.143 0.891
Ba 0.333 0.667 0.419
Br 0.143 0.287 0.391
O 0.333 0.667 0.101
Br 0.857 0.143 0.891
Ba 0.601 0.801 0.001
Br 0.857 0.713 0.891
Br 0.064 0.532 0.709
Br 0.468 0.936 0.709
Br 0.532 0.064 0.209
Br 0.936 0.468 0.209
Br 0.532 0.468 0.209
```

=====

14.
The following is a PBE calculation of Pm12Th3Mg5 after structural relaxation, from Alexandria. Values from VASP.

Calculated values
uncorrected energy	-3.6062	eV/atom
N(E_F)	32.91	states/eV/f.u.
total moment	0.0	μB/f.u.
volume	3330.9	Å³ per cell
ΔE_f	0.756	eV/atom

The structure in Quantum ESPRESSO input format:
```
&SYSTEM
  ibrav = 0, nat = 80, ntyp = 3
/
ATOMIC_SPECIES
Pm 145.00 Pm.upf
Mg 24.30 Mg.upf
Th 232.04 Th.upf
CELL_PARAMETERS angstrom
16.295 0.000 0.000
-5.432 15.363 0.000
-5.432 -7.682 13.305
ATOMIC_POSITIONS crystal
Pm 0.661 0.437 0.574
Pm 0.574 0.937 0.661
Mg 0.250 0.875 0.125
Pm 0.574 0.637 0.413
Mg 0.250 0.375 0.625
Mg 0.125 0.750 0.375
Pm 0.637 0.063 0.224
Mg 0.000 0.000 0.000
Mg 0.500 0.000 0.000
Pm 0.339 0.776 0.413
Pm 0.074 0.161 0.437
Pm 0.276 0.863 0.937
Pm 0.161 0.087 0.724
Pm 0.587 0.724 0.661
Th 0.375 0.625 0.250
Pm 0.224 0.661 0.087
Th 0.250 0.625 0.875
Pm 0.437 0.776 0.863
Mg 0.500 0.500 0.500
Th 0.625 0.375 0.750
Pm 0.087 0.161 0.224
Pm 0.937 0.574 0.161
Pm 0.776 0.339 0.913
Pm 0.426 0.363 0.587
Th 0.375 0.750 0.625
Pm 0.926 0.839 0.563
Pm 0.724 0.587 0.161
Pm 0.863 0.587 0.926
Th 0.750 0.375 0.125
Pm 0.087 0.926 0.363
Pm 0.339 0.563 0.426
Pm 0.661 0.224 0.587
Th 0.125 0.875 0.750
Th 0.875 0.125 0.250
Mg 0.500 0.000 0.500
Mg 0.750 0.625 0.375
Pm 0.276 0.413 0.839
Pm 0.363 0.937 0.776
Mg 0.625 0.750 0.875
Pm 0.913 0.074 0.637
Mg 0.000 0.000 0.500
Pm 0.839 0.913 0.276
Pm 0.839 0.926 0.063
Pm 0.363 0.426 0.087
Mg 0.000 0.500 0.000
Th 0.625 0.250 0.375
Th 0.250 0.125 0.375
Mg 0.500 0.500 0.000
Pm 0.074 0.913 0.137
Pm 0.724 0.137 0.063
Pm 0.224 0.563 0.637
Mg 0.000 0.500 0.500
Pm 0.926 0.087 0.863
Mg 0.750 0.125 0.875
Pm 0.913 0.839 0.776
Pm 0.063 0.637 0.724
Mg 0.625 0.875 0.250
Pm 0.563 0.224 0.137
Pm 0.937 0.363 0.276
Pm 0.063 0.426 0.839
Mg 0.375 0.250 0.125
Pm 0.137 0.413 0.074
Mg 0.875 0.250 0.625
Pm 0.563 0.339 0.926
Pm 0.426 0.063 0.339
Pm 0.413 0.276 0.339
Pm 0.161 0.074 0.937
Th 0.875 0.750 0.125
Pm 0.413 0.137 0.574
Th 0.750 0.875 0.625
Mg 0.875 0.625 0.750
Mg 0.375 0.125 0.750
Pm 0.137 0.724 0.563
Pm 0.776 0.437 0.363
Mg 0.125 0.375 0.250
Pm 0.587 0.863 0.426
Pm 0.437 0.661 0.074
Pm 0.863 0.276 0.437
Pm 0.637 0.574 0.913
Th 0.125 0.250 0.875
```

=====

15.
The following is a PBE calculation of TbPm8Y6 after structural relaxation, from Alexandria. Values from VASP.

Calculated values
uncorrected energy	-5.2598	eV/atom
N(E_F)	24.87	states/eV/f.u.
total moment	0.0	μB/f.u.
volume	509.6	Å³ per cell
ΔE_f	0.168	eV/atom
energy above the most stable polymorph in this dataset	53.7	meV per atom

The structure in Quantum ESPRESSO input format:
```
&SYSTEM
  ibrav = 0, nat = 15, ntyp = 3
/
ATOMIC_SPECIES
Y 88.91 Y.upf
Pm 145.00 Pm.upf
Tb 158.93 Tb.upf
CELL_PARAMETERS angstrom
-2.094 3.962 -4.810
3.817 -5.792 -6.433
-8.936 -1.297 2.822
ATOMIC_POSITIONS crystal
Y 0.660 0.656 0.093
Pm 0.124 0.667 0.333
Pm 0.876 0.333 0.667
Pm 0.833 0.037 0.285
Tb 0.500 0.000 0.000
Y 0.660 0.438 0.344
Y 0.340 0.344 0.907
Pm 0.833 0.247 0.963
Y 0.660 0.907 0.562
Pm 0.833 0.715 0.753
Pm 0.167 0.285 0.247
Pm 0.167 0.753 0.037
Pm 0.167 0.963 0.715
Y 0.340 0.562 0.656
Y 0.340 0.093 0.438
```

=====

16.
The following is a PBE calculation of Li2NpPbO8 after structural relaxation, from Alexandria. Values from VASP.

Calculated values
uncorrected energy	-6.4832	eV/atom
N(E_F)	9.37	states/eV/f.u.
total moment	0.9	μB/f.u.
volume	175.9	Å³ per cell

The structure in Quantum ESPRESSO input format:
```
&SYSTEM
  ibrav = 0, nat = 12, ntyp = 4
/
ATOMIC_SPECIES
O 16.00 O.upf
Li 6.94 Li.upf
Pb 207.20 Pb.upf
Np 237.00 Np.upf
CELL_PARAMETERS angstrom
6.094 0.937 0.000
-1.863 5.878 0.000
-2.116 -3.408 4.683
ATOMIC_POSITIONS crystal
O 0.643 0.035 0.608
O 0.427 0.035 0.392
O 0.515 0.723 0.793
O 0.930 0.723 0.207
O 0.277 0.485 0.207
O 0.965 0.357 0.392
Li 0.500 0.500 0.000
O 0.277 0.070 0.793
Pb 0.000 0.000 0.000
O 0.965 0.573 0.608
Np 0.250 0.750 0.500
Li 0.750 0.250 0.500
```

=====

17.
The following is a PBE calculation of TaTi4Hg after structural relaxation, from Alexandria. Values from VASP.

Calculated values
uncorrected energy	-7.1617	eV/atom
N(E_F)	11.63	states/eV/f.u.
total moment	0.0	μB/f.u.
volume	105.6	Å³ per cell
ΔE_f	0.127	eV/atom

The structure in Quantum ESPRESSO input format:
```
&SYSTEM
  ibrav = 0, nat = 6, ntyp = 3
/
ATOMIC_SPECIES
Ti 47.87 Ti.upf
Ta 180.95 Ta.upf
Hg 200.59 Hg.upf
CELL_PARAMETERS angstrom
-0.938 2.123 -3.955
-3.337 -2.150 2.296
-1.155 4.886 2.897
ATOMIC_POSITIONS crystal
Ti 0.667 0.333 0.764
Ti 0.333 0.667 0.236
Ti 0.333 0.667 0.764
Ta 0.000 0.000 0.000
Ti 0.667 0.333 0.236
Hg 0.000 0.000 0.500
```

=====

18.
The following is a PBE calculation of Si2PCl after structural relaxation, from Alexandria. Values from VASP.

Calculated values
uncorrected energy	-4.4021	eV/atom
N(E_F)	0.08	states/eV/f.u.
total moment	0.0	μB/f.u.
volume	76.2	Å³ per cell
energy above the most stable polymorph in this dataset	102.8	meV per atom

The structure in Quantum ESPRESSO input format:
```
&SYSTEM
  ibrav = 0, nat = 4, ntyp = 3
/
ATOMIC_SPECIES
Si 28.09 Si.upf
Cl 35.45 Cl.upf
P 30.97 P.upf
CELL_PARAMETERS angstrom
-1.674 -2.966 -1.433
0.519 -3.333 1.508
-5.442 -1.128 3.917
ATOMIC_POSITIONS crystal
Si 0.984 0.984 0.050
Si 0.516 0.516 0.450
Cl 0.750 0.750 0.750
P 0.250 0.250 0.250
```